Entry 1:
# Ti3SeI

A relaxed structure of Ti3SeI (PBEsol, Alexandria).

Cell and atoms, written as extended XYZ:
```
5
Lattice="-4.244 -2.447 -0.646 2.529 -4.064 -1.224 0.075 -1.382 4.743" Properties=species:S:1:pos:R:3 pbc="T T T"
Se -0.820 -3.947 1.436
Ti 0.037 -0.691 2.372
Ti 1.265 -2.032 -0.612
I 0.000 0.000 0.000
Ti -2.122 -1.223 -0.323
```

## Properties
Mass density = 4.81 g/cm3
Total magnetization = 3.5 μB/f.u.
Offset from the most stable computed form = 759 meV/atom
Formation energy (no corrections) = 0.958 eV/atom



Entry 2:
# TlSeI3

A relaxed structure of TlSeI3 (PBEsol, Alexandria).

Cell and atoms, written as extended XYZ:
```
5
Lattice="-4.123 -2.626 -3.322 -2.636 -2.038 4.881 -3.315 4.887 0.251" Properties=species:S:1:pos:R:3 pbc="T T T"
I -2.061 -1.313 -1.661
I -1.318 -1.019 2.441
Se -5.036 0.111 0.905
I -1.657 2.443 0.125
Tl 0.000 0.000 0.000
```

## Properties
Mass density = 5.34 g/cm3
Total magnetization = 2.5 μB/f.u.
Offset from the most stable computed form = 569 meV/atom
Formation energy (no corrections) = 0.409 eV/atom



Number 1: D(E_F) 6.16 states/eV/cell. Number 2: D(E_F) 3.03 states/eV/cell.